This record from Alexandria describes Be2Ag2Cl7 after structural relaxation. The functional is PBE-GGA.

Properties
- Size of the total moment: 0.00 μB per cell
- DOS at the Fermi energy: 12.8 states/eV per cell
- Space-group type: C2/c
- E_form (uncorrected): -9.8 eV per formula unit
- Final energy: -3.265 eV/atom

Unit cell a=7.035 b=7.035 c=11.970 alpha=103.50 beta=103.50 gamma=97.29
Atoms (fractional coordinates):
1 Be 0.169 0.197 0.208
2 Be 0.197 0.169 0.708
3 Be 0.803 0.831 0.292
4 Be 0.831 0.803 0.792
5 Ag 0.278 0.663 0.015
6 Ag 0.337 0.722 0.485
7 Ag 0.663 0.278 0.515
8 Ag 0.722 0.337 0.985
9 Cl 0.031 0.319 0.616
10 Cl 0.074 0.399 0.120
11 Cl 0.077 0.923 0.750
12 Cl 0.319 0.031 0.116
13 Cl 0.371 0.374 0.365
14 Cl 0.374 0.371 0.865
15 Cl 0.399 0.074 0.620
16 Cl 0.601 0.926 0.380
17 Cl 0.626 0.629 0.135
18 Cl 0.629 0.626 0.635
19 Cl 0.681 0.969 0.884
20 Cl 0.923 0.077 0.250
21 Cl 0.926 0.601 0.880
22 Cl 0.969 0.681 0.384